The following is a DFT calculation (GGA-PBE) of a relaxed ZnIrRu2 crystal.

It has space group I-42d (No. 122), with a = 7.0453 Å, b = 7.0453 Å, c = 5.1751 Å, α = 90.00°, β = 90.00° and γ = 90.00°. Symmetry generates all atoms from Zn at (0.0000, 0.0000, 0.0000), Ir at (0.0000, 0.0000, 0.5000) and Ru at (0.2244, 0.2500, 0.6250).

The calculation puts the formation energy at 672 meV/atom.